Density functional theory data (GGA-PBE) for a geometry-optimized Sc2NbRe structure. Values from VASP.

Cell and atoms, written as Quantum ESPRESSO input:
```
&SYSTEM
  ibrav = 0, nat = 4, ntyp = 3
/
ATOMIC_SPECIES
Nb 92.91 Nb.upf
Sc 44.96 Sc.upf
Re 186.21 Re.upf
ATOMIC_POSITIONS crystal
Nb 0.0000 0.0000 0.0000
Sc 0.9047 0.9047 0.9047
Sc 0.0953 0.0953 0.0953
Re 0.5000 0.5000 0.5000
CELL_PARAMETERS angstrom
2.8566 7.0205 6.9415
5.1267 5.1153 7.2926
5.2372 7.1894 5.1495
```

Properties
Final energy: -8.375 eV per atom
Calculated volume: 19.54 A^3/atom
Polymorph energy (0 for the lowest one): 166 meV per atom
D(E_F): 5.50 states/eV per cell